Entry 1:
A geometry-optimized Zr2Si4Tc3 structure, computed with GGA-PBE.

Lattice parameters (Å, degrees): 6.650 6.612 6.682 90.00 110.61 90.00
Atoms (fractional coordinates):
Zr 0.192 0.167 0.066
Zr 0.192 0.333 0.566
Zr 0.808 0.667 0.434
Zr 0.808 0.833 0.934
Si 0.095 0.552 0.869
Si 0.095 0.948 0.369
Si 0.491 0.638 0.632
Si 0.491 0.862 0.132
Si 0.509 0.138 0.868
Si 0.509 0.362 0.368
Si 0.905 0.052 0.631
Si 0.905 0.448 0.131
Tc 0.238 0.648 0.255
Tc 0.238 0.852 0.755
Tc 0.500 0.000 0.500
Tc 0.500 0.500 0.000
Tc 0.762 0.148 0.245
Tc 0.762 0.352 0.745

Properties
Raw formation energy ... -0.76 eV/atom
Energy ... -8.521 eV/atom



Entry 2:
A geometry-optimized K2AcTcO6 structure, computed with GGA-PBE.

Lattice parameters (Å, degrees): 6.185 6.185 6.183 119.99 119.99 90.00
Atoms (fractional coordinates):
K 0.250 0.750 0.000
K 0.750 0.250 0.000
Ac 0.000 0.000 0.500
Tc 0.500 0.500 0.500
O 0.281 0.281 0.064
O 0.281 0.717 0.499
O 0.282 0.282 0.501
O 0.717 0.281 0.499
O 0.717 0.717 0.499
O 0.717 0.717 0.936

Properties
Raw formation energy ... -1.96 eV/atom
Energy ... -6.607 eV/atom



Entry 3:
A geometry-optimized Fe2SiPb structure, computed with GGA-PBE.

Lattice parameters (Å, degrees): 3.870 3.870 8.377 90.00 90.00 90.00
Atoms (fractional coordinates):
Fe 0.000 0.000 0.000
Fe 0.000 0.500 0.250
Fe 0.500 0.000 0.750
Fe 0.500 0.500 0.500
Si 0.000 0.000 0.500
Si 0.500 0.500 0.000
Pb 0.000 0.500 0.750
Pb 0.500 0.000 0.250

Properties
Raw formation energy ... 0.54 eV/atom
Energy ... -5.972 eV/atom



Entry 4:
A geometry-optimized Nd2YGa structure, computed with GGA-PBE.

Lattice parameters (Å, degrees): 3.727 3.727 31.386 90.00 90.00 120.00
Atoms (fractional coordinates):
Nd 0.000 0.000 0.000
Nd 0.000 0.000 0.191
Nd 0.333 0.667 0.667
Nd 0.333 0.667 0.857
Nd 0.667 0.333 0.333
Nd 0.667 0.333 0.524
Y 0.000 0.000 0.429
Y 0.333 0.667 0.096
Y 0.667 0.333 0.762
Ga 0.000 0.000 0.595
Ga 0.333 0.667 0.262
Ga 0.667 0.333 0.928

Properties
Energy ... -4.906 eV/atom
Calculated formation energy ... -0.150 eV per atom